<1>
Density functional theory data (PBE with a Hubbard U) for a geometry-optimized TlP2WO structure.

## Properties
- Space-group type: P4/mmm

CIF file:
```
data_TlP2WO
_space_group_name_H-M_alt 'P 1'
_space_group_IT_number 1
_cell_length_a 4.929
_cell_length_b 4.929
_cell_length_c 3.882
_cell_angle_alpha 90.00
_cell_angle_beta 90.00
_cell_angle_gamma 90.00
loop_
_space_group_symop_operation_xyz
'x,y,z'
loop_
_atom_site_label
_atom_site_fract_x
_atom_site_fract_y
_atom_site_fract_z
_atom_site_occupancy
Tl1 0.000 0.000 0.000 1
P1 0.000 0.500 0.500 1
P2 0.500 0.000 0.500 1
W1 0.500 0.500 0.500 1
O1 0.500 0.500 0.000 1
```

---

<2>
Density functional theory data (PBE with a Hubbard U) for a geometry-optimized TlP2WO structure.

## Properties
- Space-group type: P4/mmm

CIF file:
```
data_TlP2WO
_space_group_name_H-M_alt 'P 1'
_space_group_IT_number 1
_cell_length_a 5.077
_cell_length_b 5.077
_cell_length_c 4.096
_cell_angle_alpha 90.00
_cell_angle_beta 90.00
_cell_angle_gamma 90.00
loop_
_space_group_symop_operation_xyz
'x,y,z'
loop_
_atom_site_label
_atom_site_fract_x
_atom_site_fract_y
_atom_site_fract_z
_atom_site_occupancy
Tl1 0.000 0.000 0.000 1
P1 0.000 0.500 0.000 1
P2 0.500 0.000 0.000 1
W1 0.500 0.500 0.500 1
O1 0.000 0.000 0.500 1
```

---

Q: Which of them is the most stable? A: <1>.